A relaxed structure of ZrInS4. Source: Alexandria via LeMat-Bulk, functional PBE.

abc: 8.759 8.759 7.900
angles: 104.64 104.64 33.00
Fractional coordinates of all 12 atoms:
Zr1 0.212 0.212 0.315
Zr2 0.788 0.788 0.685
In1 0.092 0.092 0.721
In2 0.908 0.908 0.279
S1 0.066 0.066 0.375
S2 0.097 0.097 0.054
S3 0.257 0.257 0.659
S4 0.351 0.351 0.238
S5 0.649 0.649 0.762
S6 0.743 0.743 0.341
S7 0.903 0.903 0.946
S8 0.934 0.934 0.625

space group	No. 12
formation energy (no corrections)	-0.685	eV per atom
DOS at the Fermi energy	2.46	states/eV/f.u.

---

A relaxed structure of InSb2. Source: Alexandria via LeMat-Bulk, functional PBE.

abc: 4.347 6.473 6.918
angles: 103.03 107.36 99.28
Fractional coordinates of all 6 atoms:
In1 0.004 0.251 0.002
In2 0.996 0.749 0.998
Sb1 0.343 0.811 0.667
Sb2 0.348 0.309 0.668
Sb3 0.652 0.691 0.332
Sb4 0.657 0.189 0.333

space group	No. 2
formation energy (no corrections)	0.053	eV per atom
DOS at the Fermi energy	1.24	states/eV/f.u.

---

A relaxed structure of InSb2. Source: Alexandria via LeMat-Bulk, functional PBE.

abc: 6.412 6.412 8.733
angles: 94.60 94.60 29.09
Fractional coordinates of all 6 atoms:
In1 0.000 0.000 0.000
In2 0.214 0.214 0.685
Sb1 0.254 0.254 0.032
Sb2 0.464 0.464 0.679
Sb3 0.471 0.471 0.333
Sb4 0.707 0.707 0.365

space group	No. 8
formation energy (no corrections)	0.105	eV per atom
DOS at the Fermi energy	1.62	states/eV/f.u.

---

no.,raw total energy (eV per atom)
1,-5.318
2,-3.608
3,-3.556